[1]
Entry from the Alexandria database: a relaxed Th5C4Se crystal (PBE). Values from VASP.

Cell and atoms, written as Quantum ESPRESSO input:
```
&SYSTEM
  ibrav = 0, nat = 10, ntyp = 3
/
ATOMIC_SPECIES
Th 232.04 Th.upf
C 12.01 C.upf
Se 78.96 Se.upf
ATOMIC_POSITIONS angstrom
Th -2.4363 4.2573 8.4357
Th -2.9377 -0.3245 3.8393
Th -5.3776 3.6465 6.3322
Th -2.0078 3.2059 4.8278
Th 0.0035 0.2863 5.9427
C -4.2470 1.6019 4.9835
C -0.6132 1.2397 3.6903
C -4.7609 2.6930 8.5846
C -1.1270 2.3308 7.2914
Se 0.0000 0.0000 0.0000
CELL_PARAMETERS angstrom
-1.3584 -2.4790 2.6193
2.5404 1.8732 5.9253
-6.5560 4.5386 3.7303
```

Computed properties:
The symmetry is C2/m (12). The calculation puts the energy at -83.1 eV per cell.


[2]
Entry from the Alexandria database: a relaxed Th4CSe5 crystal (PBE). Values from VASP.

Cell and atoms, written as Quantum ESPRESSO input:
```
&SYSTEM
  ibrav = 0, nat = 10, ntyp = 3
/
ATOMIC_SPECIES
Th 232.04 Th.upf
C 12.01 C.upf
Se 78.96 Se.upf
ATOMIC_POSITIONS angstrom
Th 4.2159 -6.2839 -3.5285
Th 0.5543 -2.1182 -5.8006
Th 0.0764 -3.2245 1.1054
Th 3.7379 -7.3902 3.3775
C -1.6085 -1.2489 0.3023
Se 2.3372 -6.7415 -1.3947
Se 1.9307 -5.3450 2.2112
Se 2.3616 -4.1634 -4.6343
Se -1.2600 -2.6081 -3.4582
Se 1.9550 -2.7669 -1.0285
CELL_PARAMETERS angstrom
-3.2170 -2.4978 0.6047
0.6970 -2.7184 -7.5210
6.8122 -4.2922 4.4932
```

Computed properties:
The symmetry is C2/m (12). The calculation puts the energy at -69.9 eV per cell.


[3]
Entry from the Alexandria database: a relaxed Th3C2Se crystal (PBE). Values from VASP.

Cell and atoms, written as Quantum ESPRESSO input:
```
&SYSTEM
  ibrav = 0, nat = 12, ntyp = 3
/
ATOMIC_SPECIES
Th 232.04 Th.upf
C 12.01 C.upf
Se 78.96 Se.upf
ATOMIC_POSITIONS angstrom
Th 0.4863 -1.5463 2.1181
Th 7.4571 0.6543 1.7356
Th 4.1308 -0.7848 2.9804
Th 3.1273 -5.1541 2.6112
Th 10.0981 -2.9535 2.2286
Th 6.4536 -3.7150 1.3664
C 0.0000 0.0000 0.0000
C 4.8528 1.0139 1.1481
C 2.0551 0.0692 2.5301
C 8.5293 -4.5690 1.8167
Se 3.0920 -2.7357 0.6244
Se 7.4924 -1.7641 3.7224
CELL_PARAMETERS angstrom
-0.8969 -0.1236 3.9004
1.7757 -6.4041 -1.8498
9.7057 2.0279 2.2962
```

Computed properties:
As for the polymorph energy (0 for the lowest one): 0 meV/atom. The symmetry is Cmcm (63). The calculation puts the energy at -96.2 eV per cell.


[4]
Entry from the Alexandria database: a relaxed Th3C2Se2 crystal (PBE). Values from VASP.

Cell and atoms, written as Quantum ESPRESSO input:
```
&SYSTEM
  ibrav = 0, nat = 7, ntyp = 3
/
ATOMIC_SPECIES
Th 232.04 Th.upf
C 12.01 C.upf
Se 78.96 Se.upf
ATOMIC_POSITIONS angstrom
Th 0.0000 0.0000 0.0000
Th 2.0532 0.3906 3.3751
Th 0.0000 3.3185 2.5047
C 2.0532 2.7698 3.6765
C 0.0000 0.9392 2.2032
Se 2.0532 5.2292 0.9207
Se 0.0000 -1.5201 4.9591
CELL_PARAMETERS angstrom
4.1063 0.0000 0.0000
0.0000 7.1101 -0.2039
-2.0532 -3.4011 6.0837
```

Computed properties:
The symmetry is C2/m (12). The calculation puts the energy at -54.6 eV per cell.


[5]
Entry from the Alexandria database: a relaxed Th8C6Se crystal (PBE). Values from VASP.

Cell and atoms, written as Quantum ESPRESSO input:
```
&SYSTEM
  ibrav = 0, nat = 15, ntyp = 3
/
ATOMIC_SPECIES
Th 232.04 Th.upf
C 12.01 C.upf
Se 78.96 Se.upf
ATOMIC_POSITIONS angstrom
Th 2.8447 8.2278 -1.6048
Th 2.8447 5.8082 3.0018
Th 2.8447 3.0286 -1.3970
Th 0.9680 0.3045 6.5309
Th 0.9680 2.7241 1.9243
Th 0.9680 5.5037 6.3231
Th 2.8605 2.8441 4.9261
Th 0.9522 5.6882 0.0000
C 2.8672 5.5868 -1.8967
C 2.8672 7.3814 0.8605
C 2.8672 4.0963 1.0361
C 0.9455 2.9455 6.8228
C 0.9455 1.1509 4.0656
C 0.9455 4.4360 3.8900
Se 1.9064 0.0000 0.0000
CELL_PARAMETERS angstrom
3.8127 0.0000 0.0000
0.0000 8.5323 -4.9261
0.0000 0.0000 9.8523
```

Computed properties:
The symmetry is P-3 (147). The calculation puts the energy at -123.8 eV per cell.


[6]
Entry from the Alexandria database: a relaxed Th3C2Se crystal (PBE). Values from VASP.

Cell and atoms, written as Quantum ESPRESSO input:
```
&SYSTEM
  ibrav = 0, nat = 12, ntyp = 3
/
ATOMIC_SPECIES
Th 232.04 Th.upf
C 12.01 C.upf
Se 78.96 Se.upf
ATOMIC_POSITIONS angstrom
Th 1.9096 4.0523 5.4909
Th 8.7211 2.5201 0.3055
Th 9.5206 5.0572 3.2713
Th 1.1101 1.5151 2.5251
Th 5.0349 1.9858 0.9918
Th 5.5959 4.5865 4.8045
C 10.0663 2.9794 2.2166
C 0.5644 3.5930 3.5798
C 3.9480 3.6812 -0.3390
C 6.6827 2.8911 6.1354
Se 3.8166 2.1338 3.8728
Se 6.8141 4.4385 1.9236
CELL_PARAMETERS angstrom
-0.6561 3.9122 -0.4784
0.0035 0.8495 6.9420
11.2833 1.8106 -0.6672
```

Computed properties:
As for the polymorph energy (0 for the lowest one): 159 meV/atom. The symmetry is P2_1/m (11). The calculation puts the energy at -94.3 eV per cell.